(1)
Density functional theory data (PBE) for crystalline RbLiGa2H8 at its relaxed geometry.

The calculation puts the electronic total energy at -3.14 eV/atom.

It has space group R-3 (No. 148, hexagonal axes), with a = 4.9305 Å, b = 4.9305 Å, c = 23.3671 Å, α = 90.00°, β = 90.00° and γ = 120.00°. The distinct sites, in fractional coordinates, are Rb at (0.0000, 0.0000, 0.0000), Li at (0.0000, 0.0000, 0.5000), Ga at (0.0000, 0.0000, 0.2371), H at (0.0000, 0.0000, 0.3063) and H at (0.0107, 0.6397, 0.8846).

(2)
Density functional theory data (PBE) for crystalline RbLiGaH6 at its relaxed geometry.

The calculation puts the electronic total energy at -2.81 eV/atom.

It has space group C2 (No. 5), with a = 4.1270 Å, b = 9.3256 Å, c = 5.9336 Å, α = 90.00°, β = 97.91° and γ = 90.00°. The distinct sites, in fractional coordinates, are Rb at (0.0000, 0.0000, 0.0000), Li at (0.0000, 0.3753, 0.5000), Ga at (0.0000, 0.6640, 0.5000), H at (0.1239, 0.5275, 0.3326), H at (0.1679, 0.2209, 0.3258) and H at (0.2217, 0.7727, 0.3093).

(3)
Density functional theory data (PBE) for crystalline LiGaHRh2 at its relaxed geometry.

The calculation puts the electronic total energy at -5.07 eV/atom.

It has space group P4/mmm (No. 123), with a = 4.0195 Å, b = 4.0195 Å, c = 3.4052 Å, α = 90.00°, β = 90.00° and γ = 90.00°. The distinct sites, in fractional coordinates, are Li at (0.0000, 0.0000, 0.0000), Ga at (0.5000, 0.5000, 0.0000), H at (0.0000, 0.0000, 0.5000) and Rh at (0.0000, 0.5000, 0.5000).

(4)
Density functional theory data (PBE) for crystalline Li2GaH6Ru at its relaxed geometry.

The calculation puts the electronic total energy at -3.79 eV/atom.

It has space group P1 (No. 1), with a = 4.4493 Å, b = 4.9529 Å, c = 5.0717 Å, α = 101.69°, β = 113.75° and γ = 110.64°. The distinct sites, in fractional coordinates, are Li at (0.0000, 0.0000, 0.0000), Li at (0.0802, 0.6219, 0.3731), Ga at (0.5783, 0.2978, 0.7120), H at (0.1332, 0.2901, 0.6225), H at (0.3154, 0.4271, 0.1960), H at (0.3687, 0.9132, 0.2542), H at (0.4830, 0.8962, 0.8287), H at (0.7521, 0.7807, 0.2147), H at (0.9420, 0.6452, 0.6947) and Ru at (0.2984, 0.6099, 0.9461).